(1)
# LaBeIn2

An optimized crystal structure of LaBeIn2 (GGA-PBE, Alexandria via LeMat-Bulk).

Values from the calculation:
Its density of states at the Fermi level is 0.7636 states/eV/atom. The value obtained for the formation energy is 125 meV/atom. As for the total magnetization: 0.00 μB/cell.

Unit cell a=5.124 b=5.124 c=9.284 alpha=73.98 beta=73.98 gamma=90.00
Positions (direct):
In (0.271, 0.625, 0.250)
Be (0.500, 0.500, 0.000)
Be (0.250, 0.750, 0.500)
In (0.375, 0.521, 0.750)
In (0.479, 0.125, 0.250)
La (0.000, 0.000, 0.000)
La (0.750, 0.250, 0.500)
In (0.875, 0.729, 0.750)

***

(2)
# PmCo3Ge3

An optimized crystal structure of PmCo3Ge3 (GGA-PBE, Alexandria via LeMat-Bulk).

Values from the calculation:
For the excess energy over the best structure of this formula in the dataset, the calculation gives 0.292 eV per atom. Its density of states at the Fermi level is 1.2488 states/eV/atom. The value obtained for the formation energy is -41 meV/atom. As for the total magnetization: 0.00 μB/cell.

Unit cell a=6.381 b=6.381 c=6.381 alpha=90.00 beta=90.00 gamma=90.00
Positions (direct):
Co (0.750, 0.000, 0.500)
Pm (0.500, 0.500, 0.500)
Ge (0.000, 0.750, 0.500)
Co (0.500, 0.750, 0.000)
Co (0.000, 0.500, 0.750)
Ge (0.500, 0.000, 0.750)
Pm (0.000, 0.000, 0.000)
Co (0.500, 0.250, 0.000)
Co (0.000, 0.500, 0.250)
Ge (0.750, 0.500, 0.000)
Ge (0.250, 0.500, 0.000)
Ge (0.000, 0.250, 0.500)
Co (0.250, 0.000, 0.500)
Ge (0.500, 0.000, 0.250)

***

(3)
# CaCrIn2Cl6

An optimized crystal structure of CaCrIn2Cl6 (GGA-PBE, Alexandria via LeMat-Bulk).

Values from the calculation:
Its density of states at the Fermi level is 0.5326 states/eV/atom. The calculation puts the formation energy without anion corrections at -1.2776 eV per atom. As for the total magnetization: 8.00 μB/cell.

Unit cell a=7.286 b=7.556 c=10.316 alpha=90.00 beta=90.00 gamma=90.00
Site moments in Bohr magnetons follow the coordinates.
Positions (direct):
Cl (0.000, 0.774, 0.237)  -0.01
Cl (0.249, 0.002, 0.500)  0.00
Cl (0.249, 0.463, 0.500)  0.00
In (0.000, 0.208, 0.292)  0.00
Cr (0.000, 0.761, 0.000)  3.59
Cl (0.251, 0.998, 0.000)  0.00
Cl (0.751, 0.002, 0.500)  0.00
In (0.500, 0.792, 0.208)  0.00
Cl (0.749, 0.998, 0.000)  0.00
Cl (0.751, 0.463, 0.500)  0.00
Cl (0.500, 0.226, 0.263)  -0.01
Cr (0.500, 0.239, 0.500)  3.59
In (0.500, 0.792, 0.792)  0.00
Ca (0.500, 0.273, 0.000)  0.02
In (0.000, 0.208, 0.708)  0.00
Cl (0.749, 0.537, 0.000)  0.00
Cl (0.251, 0.537, 0.000)  0.00
Cl (0.500, 0.226, 0.737)  -0.01
Ca (0.000, 0.727, 0.500)  0.02
Cl (0.000, 0.774, 0.763)  -0.01

***

(4)
# UGaClO4

An optimized crystal structure of UGaClO4 (GGA-PBE, Alexandria via LeMat-Bulk).

Values from the calculation:
Its density of states at the Fermi level is 0.0000 states/eV/atom. The calculation puts the formation energy without anion corrections at -2.2973 eV per atom. As for the total magnetization: 0.00 μB/cell.

Unit cell a=6.114 b=6.114 c=7.047 alpha=74.50 beta=74.50 gamma=67.63
Positions (direct):
O (0.500, 0.088, 0.157)
U (0.762, 0.762, 0.153)
O (0.088, 0.500, 0.157)
O (0.500, 0.912, 0.843)
O (0.912, 0.500, 0.843)
Cl (0.014, 0.014, 0.221)
Ga (0.365, 0.365, 0.274)
O (0.444, 0.444, 0.805)
O (0.556, 0.556, 0.195)
U (0.238, 0.238, 0.847)
Cl (0.986, 0.986, 0.779)
Ga (0.635, 0.635, 0.726)
O (0.291, 0.291, 0.547)
O (0.709, 0.709, 0.453)

***

(5)
# SrSi4Ru

An optimized crystal structure of SrSi4Ru (GGA-PBE, Alexandria via LeMat-Bulk).

Values from the calculation:
Its density of states at the Fermi level is 0.9031 states/eV/atom. The calculation puts the formation energy without anion corrections at 0.3835 eV per atom. As for the total magnetization: 0.00 μB/cell.

Unit cell a=5.262 b=5.262 c=5.262 alpha=60.00 beta=60.00 gamma=60.00
Positions (direct):
Si (0.372, 0.885, 0.372)
Si (0.372, 0.372, 0.372)
Sr (0.750, 0.750, 0.750)
Ru (0.000, 0.000, 0.000)
Si (0.885, 0.372, 0.372)
Si (0.372, 0.372, 0.885)

***

(6)
# Co2PbBr

An optimized crystal structure of Co2PbBr (GGA-PBE, Alexandria via LeMat-Bulk).

Values from the calculation:
For the excess energy over the best structure of this formula in the dataset, the calculation gives 0.455 eV per atom. Its density of states at the Fermi level is 1.5192 states/eV/atom. The calculation puts the formation energy without anion corrections at 0.7213 eV per atom. As for the total magnetization: 2.88 μB/cell.

Unit cell a=5.296 b=5.296 c=5.296 alpha=144.97 beta=114.61 gamma=76.39
Site moments in Bohr magnetons follow the coordinates.
Positions (direct):
Co (0.012, 0.012, 0.000)  1.51
Br (0.250, 0.750, 0.500)  0.04
Co (0.488, 0.488, 0.000)  1.51
Pb (0.750, 0.250, 0.500)  -0.05

***

(7)
# Ac6TlZn

An optimized crystal structure of Ac6TlZn (GGA-PBE, Alexandria via LeMat-Bulk).

Values from the calculation:
Its density of states at the Fermi level is 1.2039 states/eV/atom. The value obtained for the formation energy is -132 meV/atom. As for the total magnetization: 0.00 μB/cell.

Unit cell a=5.692 b=5.692 c=10.444 alpha=74.19 beta=74.18 gamma=90.00
Positions (direct):
Ac (0.105, 0.605, 0.790)
Ac (0.895, 0.395, 0.210)
Ac (0.251, 0.251, 0.498)
Tl (0.500, 0.500, 0.000)
Zn (0.000, 0.000, 0.000)
Ac (0.749, 0.749, 0.502)
Ac (0.395, 0.895, 0.210)
Ac (0.605, 0.105, 0.790)

***

(8)
# AlGa3S

An optimized crystal structure of AlGa3S (GGA-PBE, Alexandria via LeMat-Bulk).

Values from the calculation:
For the excess energy over the best structure of this formula in the dataset, the calculation gives 0.000 eV per atom. Its density of states at the Fermi level is 0.2897 states/eV/atom. The calculation puts the formation energy without anion corrections at 0.3124 eV per atom. As for the total magnetization: 0.00 μB/cell.

Unit cell a=4.926 b=4.926 c=4.926 alpha=90.00 beta=90.00 gamma=90.00
Positions (direct):
Ga (0.500, 0.000, 0.000)
S (0.500, 0.500, 0.500)
Al (0.000, 0.000, 0.000)
Ga (0.000, 0.000, 0.500)
Ga (0.000, 0.500, 0.000)

***

(9)
# Si2RuAu

An optimized crystal structure of Si2RuAu (GGA-PBE, Alexandria via LeMat-Bulk).

Values from the calculation:
For the excess energy over the best structure of this formula in the dataset, the calculation gives 0.090 eV per atom. Its density of states at the Fermi level is 0.5150 states/eV/atom. The calculation puts the formation energy without anion corrections at -0.1127 eV per atom. As for the total magnetization: 0.00 μB/cell.

Unit cell a=8.069 b=8.069 c=8.069 alpha=21.16 beta=21.16 gamma=21.16
Positions (direct):
Si (0.008, 0.008, 0.008)
Au (0.250, 0.250, 0.250)
Ru (0.750, 0.750, 0.750)
Si (0.492, 0.492, 0.492)

***

(10)
# Ba2CeAgSe5

An optimized crystal structure of Ba2CeAgSe5 (GGA-PBE, Alexandria via LeMat-Bulk).

Values from the calculation:
Its density of states at the Fermi level is 0.4989 states/eV/atom. The calculation puts the formation energy without anion corrections at -1.4516 eV per atom. As for the total magnetization: 0.00 μB/cell.

Unit cell a=4.349 b=9.730 c=13.191 alpha=90.00 beta=90.00 gamma=102.91
Positions (direct):
Se (0.346, 0.691, 0.009)
Ba (0.123, 0.246, 0.327)
Se (0.498, 0.995, 0.762)
Se (0.043, 0.086, 0.048)
Se (0.694, 0.388, 0.870)
Ce (0.198, 0.395, 0.017)
Ba (0.118, 0.237, 0.690)
Ag (0.446, 0.892, 0.440)
Se (0.654, 0.309, 0.509)
Ba (0.882, 0.763, 0.190)
Se (0.297, 0.594, 0.661)
Se (0.502, 0.005, 0.262)
Ba (0.877, 0.754, 0.827)
Ag (0.554, 0.108, 0.940)
Ce (0.802, 0.605, 0.517)
Se (0.703, 0.406, 0.161)
Se (0.957, 0.914, 0.548)
Se (0.306, 0.612, 0.370)

***

(11)
# YFeCl2

An optimized crystal structure of YFeCl2 (GGA-PBE, Alexandria via LeMat-Bulk).

Values from the calculation:
For the excess energy over the best structure of this formula in the dataset, the calculation gives 0.611 eV per atom. Its density of states at the Fermi level is 1.7749 states/eV/atom. The calculation puts the formation energy without anion corrections at -0.2107 eV per atom. As for the total magnetization: 3.01 μB/cell.

Unit cell a=4.927 b=4.927 c=4.927 alpha=60.00 beta=60.00 gamma=60.00
Site moments in Bohr magnetons follow the coordinates.
Positions (direct):
Y (0.250, 0.250, 0.250)  -0.20
Cl (0.750, 0.750, 0.750)  0.12
Fe (0.500, 0.500, 0.500)  2.85
Cl (0.000, 0.000, 0.000)  0.06

***

(12)
# Zr3C5

An optimized crystal structure of Zr3C5 (GGA-PBE, Alexandria via LeMat-Bulk).

Values from the calculation:
For the excess energy over the best structure of this formula in the dataset, the calculation gives 0.265 eV per atom. Its density of states at the Fermi level is 0.1701 states/eV/atom. The value obtained for the formation energy is 119 meV/atom. As for the total magnetization: 0.00 μB/cell.

Unit cell a=5.997 b=5.997 c=7.067 alpha=79.50 beta=79.50 gamma=117.53
Positions (direct):
C (0.850, 0.350, 0.519)
C (0.325, 0.089, 0.466)
C (0.619, 0.248, 0.953)
Zr (0.456, 0.956, 0.747)
C (0.142, 0.035, 0.660)
C (0.367, 0.867, 0.435)
Zr (0.812, 0.781, 0.932)
C (0.535, 0.642, 0.660)
Zr (0.281, 0.312, 0.932)
C (0.230, 0.595, 0.080)
Zr (0.943, 0.753, 0.435)
C (0.748, 0.119, 0.953)
Zr (0.253, 0.443, 0.435)
C (0.589, 0.825, 0.466)
C (0.095, 0.730, 0.080)
Zr (0.749, 0.249, 0.256)